[1]
# Ni6PtAu

Ni6PtAu at its PBEsol-relaxed geometry (SCAN, the Alexandria database).

Properties
The calculated total energy is -1.087 Ha/atom. The space group is Cmmm. Its formation energy is -0.043 eV/atom. The calculation puts the spin magnetization at 20.92 Bohr magnetons per cell.

Lattice parameters (Å, degrees): 6.2653 6.2653 10.2333 90.00 90.00 109.46
Last column: nearest neighbours and their distance in Å.
Fractional coordinates of all 32 atoms:
Ni 0.6270 0.8787 0.6236  8 Ni 2.52-2.57, 3 Pt 2.54-2.55, 1 Au 2.58
Ni 0.0000 0.0000 0.5000  8 Ni 2.54, 4 Pt 2.55-2.58
Au 0.5000 0.5000 0.2506  12 Ni 2.55-2.58
Ni 0.7521 0.2479 0.2529  8 Ni 2.52-2.60, 2 Pt 2.53-2.54, 2 Au 2.58-2.59
Pt 0.0000 0.0000 0.7495  12 Ni 2.53-2.56
Ni 0.2479 0.7521 0.7471  8 Ni 2.52-2.60, 2 Pt 2.53-2.54, 2 Au 2.58-2.59
Au 0.2523 0.7477 0.0000  12 Ni 2.53-2.59
Au 0.5000 0.5000 0.7494  12 Ni 2.55-2.58
Ni 0.3710 0.1227 0.1265  1 Pt 2.53, 8 Ni 2.54-2.60, 3 Au 2.57
Ni 0.1227 0.3710 0.8735  1 Pt 2.53, 8 Ni 2.54-2.60, 3 Au 2.57
Pt 0.7478 0.2522 0.5000  12 Ni 2.53-2.58
Pt 0.0000 0.0000 0.2505  12 Ni 2.53-2.56
Ni 0.8773 0.6290 0.1265  1 Pt 2.53, 8 Ni 2.54-2.60, 3 Au 2.57
Ni 0.0000 0.0000 0.0000  8 Ni 2.55, 2 Pt 2.56, 2 Au 2.58
Ni 0.6270 0.8787 0.3764  8 Ni 2.52-2.57, 3 Pt 2.54-2.55, 1 Au 2.58
Ni 0.6290 0.8773 0.8735  1 Pt 2.53, 8 Ni 2.54-2.60, 3 Au 2.57
Ni 0.5000 0.5000 0.5000  2 Pt 2.54, 2 Au 2.55, 8 Ni 2.57
Ni 0.1213 0.3730 0.3764  8 Ni 2.52-2.57, 3 Pt 2.54-2.55, 1 Au 2.58
Au 0.7477 0.2523 0.0000  12 Ni 2.53-2.59
Ni 0.3710 0.1227 0.8735  1 Pt 2.53, 8 Ni 2.54-2.60, 3 Au 2.57
Ni 0.8787 0.6270 0.6236  8 Ni 2.52-2.57, 3 Pt 2.54-2.55, 1 Au 2.58
Ni 0.2479 0.7521 0.2529  8 Ni 2.52-2.60, 2 Pt 2.53-2.54, 2 Au 2.58-2.59
Ni 0.8787 0.6270 0.3764  8 Ni 2.52-2.57, 3 Pt 2.54-2.55, 1 Au 2.58
Ni 0.3730 0.1213 0.3764  8 Ni 2.52-2.57, 3 Pt 2.54-2.55, 1 Au 2.58
Ni 0.6290 0.8773 0.1265  1 Pt 2.53, 8 Ni 2.54-2.60, 3 Au 2.57
Ni 0.7521 0.2479 0.7471  8 Ni 2.52-2.60, 2 Pt 2.53-2.54, 2 Au 2.58-2.59
Ni 0.8773 0.6290 0.8735  1 Pt 2.53, 8 Ni 2.54-2.60, 3 Au 2.57
Ni 0.3730 0.1213 0.6236  8 Ni 2.52-2.57, 3 Pt 2.54-2.55, 1 Au 2.58
Ni 0.1213 0.3730 0.6236  8 Ni 2.52-2.57, 3 Pt 2.54-2.55, 1 Au 2.58
Pt 0.2522 0.7478 0.5000  12 Ni 2.53-2.58
Ni 0.5000 0.5000 0.0000  4 Au 2.53-2.56, 8 Ni 2.58
Ni 0.1227 0.3710 0.1265  1 Pt 2.53, 8 Ni 2.54-2.60, 3 Au 2.57

=====

[2]
# SbMoPd3

SbMoPd3 at its PBEsol-relaxed geometry (SCAN, the Alexandria database).

Properties
The calculated total energy is -1.219 Ha/atom. The space group is Pm-3m. The calculation puts the spin magnetization at 4.45 Bohr magnetons per cell.

Lattice parameters (Å, degrees): 4.8018 4.8018 4.8018 90.00 90.00 90.00
Last column: nearest neighbours and their distance in Å.
Fractional coordinates of all 5 atoms:
Sb 0.0000 0.0000 0.0000  6 Pd 2.40
Pd 0.5000 0.0000 0.0000  2 Sb 2.40
Pd 0.0000 0.5000 0.0000  2 Sb 2.40
Pd 0.0000 0.0000 0.5000  2 Sb 2.40
Mo 0.5000 0.5000 0.5000  12 Pd 3.40

=====

[3]
# HfTcO2

HfTcO2 at its PBEsol-relaxed geometry (SCAN, the Alexandria database).

Properties
The calculated total energy is -1.055 Ha/atom. The space group is Fm-3m. The calculation puts the spin magnetization at 2.90 Bohr magnetons per cell.

Lattice parameters (Å, degrees): 3.9185 3.9185 3.9185 60.00 60.00 60.00
Last column: nearest neighbours and their distance in Å.
Fractional coordinates of all 4 atoms:
Tc 0.0000 0.0000 0.0000  8 O 2.40
O 0.7500 0.7500 0.7500  4 Hf 2.40, 4 Tc 2.40
O 0.2500 0.2500 0.2500  4 Hf 2.40, 4 Tc 2.40
Hf 0.5000 0.5000 0.5000  8 O 2.40